Record 1
K2HgGeBr6 | PBE | optimized geometry

```
10
Lattice="0.000 5.564 5.564 5.564 0.000 5.564 5.564 5.564 0.000" Properties=species:S:1:pos:R:3 pbc="T T T"
Br 2.742 5.564 5.564
Br 5.564 2.742 5.564
Br 5.564 5.564 8.386
Br 5.564 5.564 2.742
Br 5.564 8.386 5.564
Br 8.386 5.564 5.564
Ge 0.000 0.000 0.000
Hg 5.564 5.564 5.564
K 2.782 2.782 2.782
K 8.346 8.346 8.346
```

Values from the calculation:
Calculated total energy = -2.6708 eV/atom

---

Record 2
BeAgH3 | PBE | optimized geometry

```
20
Lattice="-3.049 2.115 -3.591 -4.213 -5.603 0.278 -2.375 1.943 3.161" Properties=species:S:1:pos:R:3 pbc="T T T"
Ag -3.757 0.487 -2.857
Ag -3.215 0.234 0.247
Ag -6.422 -1.779 -0.398
Ag -5.880 -2.032 2.706
Be -1.525 1.057 -1.795
Be -3.631 -1.744 -1.656
Be -1.187 0.971 1.580
Be -3.294 -1.830 1.720
H -5.078 -2.826 -1.131
H -1.437 0.661 -0.342
H -3.157 -1.627 -0.229
H -3.264 1.966 -1.734
H -4.985 -0.322 -1.621
H -4.008 -3.511 1.270
H -5.629 1.966 -1.421
H -4.652 -1.223 1.469
H -6.373 -3.511 1.583
H -6.480 0.082 0.077
H -8.200 -2.206 0.191
H -4.559 1.281 0.980
```

Values from the calculation:
Calculated total energy = -2.9652 eV/atom

---

Record 3
TcTeSe | PBE | optimized geometry

```
12
Lattice="6.858 0.000 0.000 3.371 6.202 0.000 1.682 1.621 7.049" Properties=species:S:1:pos:R:3 pbc="T T T"
Se 8.602 4.257 1.658
Se 5.040 4.553 1.885
Se 6.870 3.271 5.163
Se 3.308 3.566 5.390
Tc 7.036 4.979 3.441
Tc 9.998 5.141 3.495
Tc 1.913 2.682 3.554
Tc 4.875 2.845 3.608
Te 3.485 1.192 2.003
Te 6.768 1.378 2.144
Te 5.142 6.446 4.904
Te 8.426 6.631 5.046
```

Values from the calculation:
Calculated total energy = -6.0816 eV/atom
Total magnetization = 0.0 Bohr magnetons per cell

---

Record 4
TaSn2Mo | PBE | optimized geometry

```
4
Lattice="-2.676 -2.375 3.208 0.188 1.206 4.648 -3.754 2.168 2.074" Properties=species:S:1:pos:R:3 pbc="T T T"
Mo -4.682 0.749 7.448
Sn -1.561 0.250 2.483
Sn -3.121 0.499 4.965
Ta 0.000 0.000 0.000
```

Values from the calculation:
Calculated total energy = -7.2145 eV/atom
Total magnetization = 0.0 Bohr magnetons per cell

---

Record 5
ErSi4Pd3 | PBE | optimized geometry

```
8
Lattice="-2.019 -1.484 -4.260 2.942 -2.500 -0.524 -3.274 -4.638 3.754" Properties=species:S:1:pos:R:3 pbc="T T T"
Er -3.370 -4.281 1.506
Pd -0.421 -3.060 -2.251
Pd -1.324 -1.722 0.782
Pd -2.435 -5.587 -1.499
Si 0.964 -1.769 -0.636
Si -2.813 -3.073 -1.131
Si -0.905 -4.122 0.098
Si -4.984 -5.877 0.059
```

Values from the calculation:
Calculated total energy = -5.6786 eV/atom
Total magnetization = 0.0 Bohr magnetons per cell

---

Record 6
ZnAsOsO | PBE | optimized geometry

```
8
Lattice="-0.412 2.463 2.317 -3.258 0.336 -0.936 -2.624 -6.755 6.715" Properties=species:S:1:pos:R:3 pbc="T T T"
As -3.428 0.361 2.764
As -2.866 -4.317 5.332
O -1.123 1.931 1.504
O -2.546 0.867 -0.123
Os -1.264 -0.193 1.233
Os -5.030 -3.763 6.863
Zn -2.435 -1.446 4.861
Zn -3.859 -2.510 3.235
```

Values from the calculation:
Total magnetization = 0.1 Bohr magnetons per cell
E above lowest polymorph = 69.3 kJ/mol of atoms

---

Record 7
LiPrPdSe3 | PBE | optimized geometry

```
12
Lattice="2.004 -6.813 0.000 2.004 6.813 0.000 0.000 0.000 10.771" Properties=species:S:1:pos:R:3 pbc="T T T"
Li 2.004 -3.967 2.693
Li 2.004 3.967 8.078
Pd 2.004 0.139 2.693
Pd 2.004 -0.139 8.078
Pr 0.000 0.000 0.000
Pr 0.000 0.000 5.386
Se 2.004 1.999 0.966
Se 2.004 5.399 2.693
Se 2.004 1.999 4.419
Se 2.004 -1.999 6.352
Se 2.004 -5.399 8.078
Se 2.004 -1.999 9.805
```

Values from the calculation:
Calculated total energy = -4.7663 eV/atom
Total magnetization = 0.0 Bohr magnetons per cell

---

Record 8
LaPr2Os | PBE | optimized geometry

```
16
Lattice="7.460 0.000 0.000 0.000 9.915 0.000 0.000 0.000 6.619" Properties=species:S:1:pos:R:3 pbc="T T T"
La 3.338 7.436 0.975
La 7.068 7.436 2.335
La 0.392 2.479 4.284
La 4.122 2.479 5.644
Os 6.576 2.479 0.279
Os 2.846 2.479 3.031
Os 4.613 7.436 3.588
Os 0.883 7.436 6.340
Pr 1.274 0.673 1.144
Pr 1.274 4.284 1.144
Pr 5.004 0.673 2.165
Pr 5.004 4.284 2.165
Pr 2.456 5.631 4.454
Pr 2.456 9.241 4.454
Pr 6.186 5.631 5.474
Pr 6.186 9.241 5.474
```

Values from the calculation:
Total magnetization = 0.0 Bohr magnetons per cell
Energy of formation from the pure elements = -0.115 eV per atom

---

Record 9
NbFeCuBi | PBE | optimized geometry

```
4
Lattice="-0.035 -3.795 -2.637 -3.090 -3.341 0.800 -3.459 -0.710 -2.981" Properties=species:S:1:pos:R:3 pbc="T T T"
Bi 0.000 0.000 0.000
Cu -4.938 -5.885 -3.614
Fe -3.292 -3.923 -2.409
Nb -1.646 -1.962 -1.205
```

Values from the calculation:
Total magnetization = 1.1 Bohr magnetons per cell
E above lowest polymorph = 10.6 kJ/mol of atoms

---

Record 10
DyYSe4 | PBE | optimized geometry

```
6
Lattice="-2.272 1.448 -4.458 -4.923 1.521 -0.765 2.554 6.892 1.696" Properties=species:S:1:pos:R:3 pbc="T T T"
Dy -0.327 6.343 -0.361
Se -2.217 2.184 -1.635
Se 0.308 3.431 0.153
Se -4.950 6.437 -3.680
Se -2.426 7.667 -1.893
Y -4.314 3.519 -3.166
```

Values from the calculation:
Calculated total energy = -5.7232 eV/atom
Total magnetization = 0.0 Bohr magnetons per cell

---

Record 11
KZrIrSe3 | PBE | optimized geometry

```
12
Lattice="8.640 0.000 0.000 0.000 3.830 0.000 -3.861 0.000 9.380" Properties=species:S:1:pos:R:3 pbc="T T T"
Ir 1.867 0.958 3.885
Ir 2.911 2.873 5.495
K 5.331 2.873 2.501
K -0.553 0.958 6.878
Se 7.608 0.958 1.192
Se 2.809 0.958 1.545
Se 0.336 2.873 4.213
Se 4.443 0.958 5.166
Se 1.969 2.873 7.835
Se -2.829 2.873 8.188
Zr 0.904 2.873 1.627
Zr 3.875 0.958 7.752
```

Values from the calculation:
Total magnetization = 0.0 Bohr magnetons per cell
E above lowest polymorph = 0.0 kJ/mol of atoms

---

Record 12
Cs2AgAsF6 | PBE | optimized geometry

```
10
Lattice="4.689 -2.610 -3.112 0.795 -6.150 0.173 -1.149 -3.419 -5.047" Properties=species:S:1:pos:R:3 pbc="T T T"
Ag 2.168 -6.090 -3.993
As 0.000 0.000 0.000
Cs 1.084 -3.045 -1.996
Cs 3.252 -9.135 -5.989
F 1.433 -6.122 -1.763
F 3.943 -7.519 -3.429
F 3.517 -4.228 -3.521
F 2.902 -6.057 -6.222
F 0.393 -4.661 -4.557
F 0.818 -7.952 -4.464
```

Values from the calculation:
Calculated total energy = -4.1811 eV/atom